No. 1
DFT (GGA-PBE) results for a relaxed KLa2HfAl crystal.

Cell: 5.730 5.730 6.065 Å, 90.00 90.00 90.00°
Sites, in units of the cell vectors:
K 0.000 0.000 0.000
La 0.000 0.500 0.500
La 0.500 0.000 0.500
Hf 0.000 0.000 0.500
Al 0.500 0.500 0.000

Results
Calculated total energy: -0.2904 Ry per atom
ρ: 4.4 Mg/m³
ΔE_f: 0.98 eV/atom

=====

No. 2
DFT (GGA-PBE) results for a relaxed SrLi2Br crystal.

Cell: 6.264 6.264 6.264 Å, 135.22 135.22 65.19°
Sites, in units of the cell vectors:
Sr 0.000 0.000 0.000
Li 0.500 0.500 0.000
Li 0.750 0.250 0.500
Br 0.250 0.750 0.500

Results
E above lowest polymorph: 0.225 eV per atom
Calculated total energy: -0.1609 Ry per atom
ρ: 2.5 Mg/m³
Uncorrected formation energy: -0.393 eV/atom

=====

No. 3
DFT (GGA-PBE) results for a relaxed ErHgBr crystal.

Cell: 6.821 3.771 7.197 Å, 90.00 103.18 90.00°
Sites, in units of the cell vectors:
Er 0.004 0.250 0.216
Er 0.996 0.750 0.784
Hg 0.330 0.250 0.987
Hg 0.670 0.750 0.013
Br 0.235 0.750 0.493
Br 0.765 0.250 0.507

Results
Calculated total energy: -0.2220 Ry per atom
ρ: 8.2 Mg/m³
Uncorrected formation energy: -0.842 eV/atom

=====

No. 4
DFT (GGA-PBE) results for a relaxed KBaOs2 crystal.

Cell: 6.271 6.271 7.787 Å, 124.55 124.55 38.67°
Sites, in units of the cell vectors:
K 0.000 0.000 0.000
Ba 0.500 0.500 0.500
Os 0.259 0.259 0.578
Os 0.741 0.741 0.422

Results
E above lowest polymorph: 0.415 eV per atom
Calculated total energy: -0.4049 Ry per atom
ρ: 6.0 Mg/m³
ΔE_f: 0.86 eV/atom

=====

No. 5
DFT (GGA-PBE) results for a relaxed UAl2Pt8 crystal.

Cell: 7.445 7.445 6.549 Å, 110.76 110.76 31.88°
Sites, in units of the cell vectors:
U 0.000 0.000 0.000
Al 0.289 0.289 0.341
Al 0.711 0.711 0.659
Pt 0.110 0.110 0.462
Pt 0.177 0.177 0.934
Pt 0.342 0.342 0.774
Pt 0.462 0.462 0.271
Pt 0.538 0.538 0.729
Pt 0.658 0.658 0.226
Pt 0.823 0.823 0.066
Pt 0.890 0.890 0.538

Results
Calculated total energy: -0.5003 Ry per atom
ρ: 17.3 Mg/m³
ΔE_f: -0.71 eV/atom

=====

No. 6
DFT (GGA-PBE) results for a relaxed Ag2Hg5F12 crystal.

Cell: 7.400 7.400 7.910 Å, 105.75 105.75 48.64°
Sites, in units of the cell vectors:
Ag 0.230 0.770 0.000
Ag 0.770 0.230 0.000
Hg 0.000 0.000 0.500
Hg 0.304 0.304 0.647
Hg 0.317 0.317 0.177
Hg 0.683 0.683 0.823
Hg 0.696 0.696 0.353
F 0.047 0.047 0.778
F 0.076 0.556 0.887
F 0.101 0.583 0.446
F 0.417 0.899 0.554
F 0.444 0.924 0.113
F 0.488 0.488 0.227
F 0.512 0.512 0.773
F 0.556 0.076 0.887
F 0.583 0.101 0.446
F 0.899 0.417 0.554
F 0.924 0.444 0.113
F 0.953 0.953 0.222

Results
Calculated total energy: -0.2106 Ry per atom
ρ: 7.7 Mg/m³
Uncorrected formation energy: -1.304 eV/atom

=====

No. 7
DFT (GGA-PBE) results for a relaxed Tl6InBr8 crystal.

Cell: 9.911 9.911 6.442 Å, 90.00 90.00 120.00°
Sites, in units of the cell vectors:
Tl 0.002 0.382 0.268
Tl 0.379 0.998 0.268
Tl 0.382 0.379 0.732
Tl 0.618 0.621 0.268
Tl 0.621 0.002 0.732
Tl 0.998 0.618 0.732
In 0.000 0.000 0.500
Br 0.001 0.252 0.744
Br 0.251 0.999 0.744
Br 0.252 0.251 0.256
Br 0.333 0.667 0.498
Br 0.667 0.333 0.502
Br 0.748 0.749 0.744
Br 0.749 0.001 0.256
Br 0.999 0.748 0.256

Results
Calculated total energy: -0.2058 Ry per atom
ρ: 6.0 Mg/m³
Uncorrected formation energy: -0.779 eV/atom